{
  "formula": "YCoO2",
  "functional": "PBE with a Hubbard U",
  "state": "optimized geometry",
  "polymorph_energy_mev_per_atom": 0.0,
  "dft_energy_ev_per_atom": -7.661,
  "dos_ef_per_ev_fu": 0.00,
  "m_tot_mub_per_cell": 2.00,
  "lattice": [[1.775, 1.025, 5.672], [-1.775, 1.025, 5.672], [0.000, -2.049, 5.672]],
  "species": ["Y", "Co", "O", "O"],
  "frac_coords": [[0.000, 0.000, 0.000], [0.500, 0.500, 0.500], [0.393, 0.393, 0.393], [0.607, 0.607, 0.607]]
}